## Te2PIF (PBE)

Data for an optimized crystal structure of Te2PIF.

```
Te2PIF
1.0
-3.054 -3.011 1.601
1.044 -2.871 -3.408
5.517 -3.244 4.423
I P Te F
1 1 2 1
Direct
0.000 0.000 0.500
0.500 0.500 0.500
0.000 0.500 0.000
0.500 0.000 0.000
0.000 0.000 0.000
```

Properties
**Crystal system**: tetragonal
**Energy above the lowest structure with this stoichiometry**: 153 meV/atom

## TlPIF6 (PBE)

Data for an optimized crystal structure of TlPIF6.

```
TlPIF6
1.0
6.922 1.436 0.493
4.623 5.778 -0.406
0.354 -0.614 5.062
Tl P I F
1 1 1 6
Direct
0.527 0.673 0.368
0.339 0.329 0.524
0.096 0.032 0.969
0.074 0.380 0.475
0.516 0.032 0.609
0.603 0.279 0.575
0.137 0.524 0.841
0.169 0.621 0.433
0.540 0.131 0.206
```

Properties
**Crystal system**: triclinic

## PaI4F (PBE)

Data for an optimized crystal structure of PaI4F.

```
PaI4F
1.0
4.332 0.000 1.429
2.166 7.962 0.714
-0.328 0.000 8.276
Pa I F
1 4 1
Direct
0.942 0.000 0.000
0.694 0.182 0.316
0.010 0.684 0.182
0.875 0.316 0.818
0.191 0.818 0.684
0.442 0.000 0.000
```

Properties
**Crystal system**: tetragonal

## Pa2I4F5 (PBE)

Data for an optimized crystal structure of Pa2I4F5.

```
Pa2I4F5
1.0
4.785 0.000 0.000
0.000 6.934 0.025
0.000 0.741 10.867
Pa I F
2 4 5
Direct
0.000 0.962 0.713
0.000 0.038 0.287
0.500 0.243 0.633
0.500 0.235 0.136
0.500 0.757 0.367
0.500 0.765 0.864
0.000 0.865 0.143
0.000 0.314 0.343
0.000 0.000 0.500
0.000 0.686 0.657
0.000 0.135 0.857
```

Properties
**Crystal system**: monoclinic

## PaIF (PBE)

Data for an optimized crystal structure of PaIF.

```
PaIF
1.0
7.186 0.000 0.000
0.000 3.597 0.000
0.000 -1.798 3.115
I Pa F
1 1 1
Direct
0.722 0.667 0.333
0.040 0.000 0.000
0.237 0.333 0.667
```

Properties
**Crystal system**: trigonal
**Energy above the lowest structure with this stoichiometry**: 102 meV/atom

## PaIF3 (PBE)

Data for an optimized crystal structure of PaIF3.

```
PaIF3
1.0
-4.516 0.778 -0.509
0.031 -2.396 -3.939
-0.929 -3.861 2.342
I Pa F
1 1 3
Direct
0.500 0.500 0.500
0.000 0.000 0.000
0.000 0.500 0.000
0.000 0.000 0.500
0.500 0.000 0.000
```

Properties
**Crystal system**: cubic
**Energy above the lowest structure with this stoichiometry**: 134 meV/atom

## Pa2I3F7 (PBE)

Data for an optimized crystal structure of Pa2I3F7.

```
Pa2I3F7
1.0
4.581 0.000 0.000
0.000 4.533 -0.673
0.000 -0.019 15.471
Pa I F
2 3 7
Direct
0.000 0.925 0.850
0.000 0.075 0.150
0.500 0.500 0.000
0.500 0.713 0.427
0.500 0.287 0.573
0.000 0.415 0.831
0.000 0.859 0.717
0.000 0.000 0.000
0.000 0.585 0.169
0.500 0.085 0.169
0.500 0.915 0.831
0.000 0.141 0.283
```

Properties
**Crystal system**: orthorhombic

## PaIF (PBE)

Data for an optimized crystal structure of PaIF.

```
PaIF
1.0
3.543 0.018 0.228
0.002 5.753 -0.468
-0.649 -1.207 8.128
F I Pa
2 2 2
Direct
0.257 0.652 0.689
0.743 0.348 0.311
0.761 0.189 0.797
0.239 0.811 0.203
0.750 0.739 0.501
0.250 0.261 0.499
```

Properties
**Crystal system**: triclinic
**Energy above the lowest structure with this stoichiometry**: 0 meV/atom

## PaIF4 (PBE)

Data for an optimized crystal structure of PaIF4.

```
PaIF4
1.0
-2.539 -1.324 -2.146
2.656 -7.575 1.533
-5.045 -0.499 6.276
Pa I F
2 2 8
Direct
0.000 0.137 0.750
0.000 0.863 0.250
0.000 0.519 0.750
0.000 0.481 0.250
0.000 0.000 0.500
0.000 0.000 0.000
0.500 0.956 0.750
0.500 0.044 0.250
0.500 0.777 0.092
0.500 0.223 0.908
0.500 0.777 0.408
0.500 0.223 0.592
```

Properties
**Crystal system**: orthorhombic

## PaI3F (PBE)

Data for an optimized crystal structure of PaI3F.

```
PaI3F
1.0
-7.257 10.884 5.468
-12.178 -6.609 -3.008
0.077 -2.013 4.109
Pa I F
4 12 4
Direct
0.382 0.382 0.000
0.882 0.118 0.500
0.118 0.882 0.500
0.618 0.618 0.000
0.604 0.396 0.000
0.104 0.104 0.500
0.896 0.896 0.500
0.396 0.604 0.000
0.603 0.823 0.000
0.323 0.897 0.500
0.177 0.397 0.000
0.397 0.177 0.000
0.897 0.323 0.500
0.103 0.677 0.500
0.823 0.603 0.000
0.677 0.103 0.500
0.389 0.389 0.500
0.889 0.111 0.000
0.111 0.889 0.000
0.611 0.611 0.500
```

Properties
**Crystal system**: tetragonal

## PaIF3 (PBE)

Data for an optimized crystal structure of PaIF3.

```
PaIF3
1.0
-2.943 -1.670 -2.592
6.769 -1.784 -3.032
-1.221 -5.463 4.906
Pa I F
2 2 6
Direct
0.557 0.114 0.287
0.443 0.886 0.713
0.879 0.757 0.022
0.121 0.243 0.978
0.070 0.140 0.396
0.930 0.860 0.604
0.422 0.844 0.387
0.578 0.156 0.613
0.299 0.598 0.647
0.701 0.402 0.353
```

Properties
**Crystal system**: monoclinic
**Energy above the lowest structure with this stoichiometry**: 0 meV/atom

## PaIF2 (PBE)

Data for an optimized crystal structure of PaIF2.

```
PaIF2
1.0
-1.144 -2.736 2.653
5.689 0.209 2.669
-4.809 2.651 0.660
Pa I F
1 1 2
Direct
0.500 0.000 0.000
0.500 0.500 0.000
0.000 0.837 0.686
0.000 0.163 0.314
```

Properties
**Crystal system**: monoclinic
**Energy above the lowest structure with this stoichiometry**: 48 meV/atom

Ordered raw formation energy results: 464 -2077 -1489 -2464 -1653 -2857 -2701 -1754 -3104 -1642 -2992 -2375; unit meV per atom.
Ordered calculated total energy results: -2.5589 -4.3607 -4.4168 -5.6053 -5.9586 -6.1894 -5.7625 -6.0601 -6.1924 -4.8457 -6.3236 -6.0719; unit eV per atom.